No. 1
! SbRu3F | Alexandria | PBE-GGA | relaxed; values from VASP
! energy relative to the lowest polymorph listed for this composition = 0 meV/atom
&SYSTEM
  ibrav = 0, nat = 5, ntyp = 3
/
ATOMIC_SPECIES
Sb 121.76 Sb.upf
Ru 101.07 Ru.upf
F 19.00 F.upf
CELL_PARAMETERS angstrom
4.261 0.000 0.000
0.000 4.261 0.000
0.000 0.000 4.261
ATOMIC_POSITIONS angstrom
Sb 2.131 2.131 2.131
Ru 0.000 0.000 2.131
F 0.000 0.000 0.000
Ru 0.000 2.131 0.000
Ru 2.131 0.000 0.000

No. 2
! SbRu2F | Alexandria | PBE-GGA | relaxed; values from VASP
! energy relative to the lowest polymorph listed for this composition = 87 meV/atom
&SYSTEM
  ibrav = 0, nat = 8, ntyp = 3
/
ATOMIC_SPECIES
F 19.00 F.upf
Ru 101.07 Ru.upf
Sb 121.76 Sb.upf
CELL_PARAMETERS angstrom
4.117 0.000 0.000
0.000 4.117 0.000
2.058 2.058 8.002
ATOMIC_POSITIONS angstrom
F 2.058 4.117 4.001
Ru 2.742 1.029 2.000
Ru 5.146 4.800 6.001
F 2.058 2.058 0.000
Ru 1.375 3.088 2.000
Ru 3.088 3.433 6.001
Sb 0.000 0.000 0.000
Sb 4.117 2.058 4.001

No. 3
! Sb2RuF | Alexandria | PBE-GGA | relaxed; values from VASP
! energy relative to the lowest polymorph listed for this composition = 227 meV/atom
&SYSTEM
  ibrav = 0, nat = 8, ntyp = 3
/
ATOMIC_SPECIES
Sb 121.76 Sb.upf
Ru 101.07 Ru.upf
F 19.00 F.upf
CELL_PARAMETERS angstrom
-1.871 -0.714 5.214
-5.207 -0.550 -1.944
-2.675 -6.881 1.089
ATOMIC_POSITIONS angstrom
Sb -2.503 -2.241 3.325
Ru -4.043 -4.114 3.969
Sb -8.237 -6.271 3.664
Ru 0.000 0.000 0.000
F -5.711 -4.032 0.390
Sb -4.144 -2.148 -0.328
F -3.539 -0.632 1.635
Sb -4.624 -5.631 2.056

No. 4
! Sb3RuF | Alexandria | PBE-GGA | relaxed; values from VASP
! energy relative to the lowest polymorph listed for this composition = 223 meV/atom
&SYSTEM
  ibrav = 0, nat = 5, ntyp = 3
/
ATOMIC_SPECIES
Sb 121.76 Sb.upf
Ru 101.07 Ru.upf
F 19.00 F.upf
CELL_PARAMETERS angstrom
4.755 0.000 0.000
0.000 4.755 0.000
0.000 0.000 4.755
ATOMIC_POSITIONS angstrom
Sb 0.000 2.378 0.000
Sb 2.378 0.000 0.000
Ru 2.378 2.378 2.378
F 0.000 0.000 0.000
Sb 0.000 0.000 2.378

No. 5
! Sb3RuF | Alexandria | PBE-GGA | relaxed; values from VASP
! energy relative to the lowest polymorph listed for this composition = 0 meV/atom
&SYSTEM
  ibrav = 0, nat = 5, ntyp = 3
/
ATOMIC_SPECIES
Ru 101.07 Ru.upf
Sb 121.76 Sb.upf
F 19.00 F.upf
CELL_PARAMETERS angstrom
5.127 0.000 0.000
0.000 5.127 0.000
0.000 0.000 5.127
ATOMIC_POSITIONS angstrom
Ru 0.000 0.000 0.000
Sb 2.563 0.000 0.000
Sb 0.000 0.000 2.563
Sb 0.000 2.563 0.000
F 2.563 2.563 2.563

No. 6
! SbRu3F | Alexandria | PBE-GGA | relaxed; values from VASP
! energy relative to the lowest polymorph listed for this composition = 780 meV/atom
&SYSTEM
  ibrav = 0, nat = 5, ntyp = 3
/
ATOMIC_SPECIES
Ru 101.07 Ru.upf
Sb 121.76 Sb.upf
F 19.00 F.upf
CELL_PARAMETERS angstrom
-0.219 -1.865 -4.562
4.875 -0.751 0.073
-0.722 -4.505 1.877
ATOMIC_POSITIONS angstrom
Ru 2.438 -0.375 0.037
Ru -0.361 -2.252 0.938
Ru -0.109 -0.933 -2.281
Sb 0.000 0.000 0.000
F 1.967 -3.561 -1.306

No. 7
Tc2SbRuF | PBE-GGA | relaxed Values from VASP.

Geometry as Quantum ESPRESSO input:
```
&SYSTEM
  ibrav = 0, nat = 5, ntyp = 4
/
ATOMIC_SPECIES
Tc 98.00 Tc.upf
Ru 101.07 Ru.upf
F 19.00 F.upf
Sb 121.76 Sb.upf
CELL_PARAMETERS angstrom
-0.747 -2.399 4.475
4.248 1.715 1.628
-2.382 4.160 1.833
ATOMIC_POSITIONS angstrom
Tc -0.373 -1.200 2.238
Ru 2.124 0.857 0.814
Tc -1.191 2.080 0.917
F 0.560 1.738 3.968
Sb 0.000 0.000 0.000
```

No. 8
TcSb2RuF | PBE-GGA | relaxed Values from VASP.

Geometry as Quantum ESPRESSO input:
```
&SYSTEM
  ibrav = 0, nat = 5, ntyp = 4
/
ATOMIC_SPECIES
F 19.00 F.upf
Tc 98.00 Tc.upf
Sb 121.76 Sb.upf
Ru 101.07 Ru.upf
CELL_PARAMETERS angstrom
5.172 0.000 0.000
0.000 5.172 0.000
0.000 0.000 3.937
ATOMIC_POSITIONS angstrom
F 0.000 0.000 1.968
Tc 2.586 2.586 1.968
Sb 0.000 2.586 0.000
Sb 2.586 0.000 0.000
Ru 0.000 0.000 0.000
```

No. 9
! SbTe2RuF | Alexandria | PBE-GGA | relaxed; values from VASP
! energy relative to the lowest polymorph listed for this composition = 0 meV/atom
&SYSTEM
  ibrav = 0, nat = 5, ntyp = 4
/
ATOMIC_SPECIES
Te 127.60 Te.upf
Sb 121.76 Sb.upf
Ru 101.07 Ru.upf
F 19.00 F.upf
CELL_PARAMETERS angstrom
-3.892 -1.690 -2.986
1.220 -4.902 1.184
-3.163 0.183 4.018
ATOMIC_POSITIONS angstrom
Te -1.946 -0.845 -1.493
Te 0.610 -2.451 0.592
Sb -1.582 0.092 2.009
Ru 0.000 0.000 0.000
F -2.917 -3.205 1.108

No. 10
! SbTe2RuF | Alexandria | PBE-GGA | relaxed; values from VASP
! energy relative to the lowest polymorph listed for this composition = 341 meV/atom
&SYSTEM
  ibrav = 0, nat = 5, ntyp = 4
/
ATOMIC_SPECIES
F 19.00 F.upf
Te 127.60 Te.upf
Ru 101.07 Ru.upf
Sb 121.76 Sb.upf
CELL_PARAMETERS angstrom
4.972 0.000 0.000
0.000 4.972 0.000
0.000 0.000 4.534
ATOMIC_POSITIONS angstrom
F 0.000 0.000 0.000
Te 0.000 2.486 0.000
Te 2.486 0.000 0.000
Ru 2.486 2.486 2.267
Sb 0.000 0.000 2.267

No. 11
TiSbRuF2 | PBE-GGA | relaxed Values from VASP.

Geometry as Quantum ESPRESSO input:
```
&SYSTEM
  ibrav = 0, nat = 5, ntyp = 4
/
ATOMIC_SPECIES
Ti 47.87 Ti.upf
Sb 121.76 Sb.upf
F 19.00 F.upf
Ru 101.07 Ru.upf
CELL_PARAMETERS angstrom
3.842 0.000 0.000
0.000 5.553 0.000
0.000 0.000 3.842
ATOMIC_POSITIONS angstrom
Ti 0.000 0.000 0.000
Sb 1.921 2.776 1.921
F 1.921 0.000 0.000
Ru 0.000 2.776 0.000
F 0.000 0.000 1.921
```

No. 12
ZrSbRuF2 | PBE-GGA | relaxed Values from VASP.

Geometry as Quantum ESPRESSO input:
```
&SYSTEM
  ibrav = 0, nat = 5, ntyp = 4
/
ATOMIC_SPECIES
Ru 101.07 Ru.upf
Zr 91.22 Zr.upf
Sb 121.76 Sb.upf
F 19.00 F.upf
CELL_PARAMETERS angstrom
-3.689 1.192 1.423
0.896 -3.409 5.180
1.759 3.253 1.836
ATOMIC_POSITIONS angstrom
Ru -0.517 0.518 4.219
Zr 0.448 -1.704 2.590
Sb 0.000 0.000 0.000
F -1.844 0.596 0.711
F 0.880 1.627 0.918
```

| no. | VASP energy (eV/atom) | magnetization (μB per cell) |
| --- | --- | --- |
| 1 | -5.932 | 0.0 |
| 2 | -6.053 | 0.4 |
| 3 | -5.116 | 0.0 |
| 4 | -4.347 | 0.4 |
| 5 | -4.570 | 2.0 |
| 6 | -5.152 | 5.4 |
| 7 | -5.442 | 7.6 |
| 8 | -5.586 | 2.5 |
| 9 | -4.116 | 1.1 |
| 10 | -3.774 | 0.0 |
| 11 | -6.470 | 0.0 |
| 12 | -5.586 | 1.1 |